In2CuTe: optimized geometry, PBE. Values from VASP.

The energy relative to the elements, uncorrected is 49 meV/atom. Its crystal system is monoclinic.

Geometry as Quantum ESPRESSO input:
```
&SYSTEM
  ibrav = 0, nat = 4, ntyp = 3
/
ATOMIC_SPECIES
Te 127.60 Te.upf
In 114.82 In.upf
Cu 63.55 Cu.upf
ATOMIC_POSITIONS crystal
Te 0.500 0.250 0.250
In 0.000 0.640 0.532
In 0.000 0.860 0.968
Cu 0.500 0.750 0.750
CELL_PARAMETERS angstrom
-3.220 -2.766 1.113
0.290 -2.146 -4.496
3.615 -4.819 -1.515
```


B2C: optimized geometry, PBE. Values from VASP.

The energy of formation from the pure elements is 0.46 eV per atom. Its crystal system is triclinic. For the polymorph energy (0 for the lowest one), the calculation gives 0.84 eV/f.u.

Geometry as Quantum ESPRESSO input:
```
&SYSTEM
  ibrav = 0, nat = 12, ntyp = 2
/
ATOMIC_SPECIES
B 10.81 B.upf
C 12.01 C.upf
ATOMIC_POSITIONS crystal
B 0.986 0.014 0.535
B 0.554 0.264 0.573
B 0.304 0.456 0.851
B 0.030 0.073 0.009
B 0.940 0.613 0.389
B 0.303 0.267 0.299
B 0.223 0.857 0.211
B 0.652 0.738 0.695
C 0.680 0.329 0.148
C 0.922 0.707 0.940
C 0.616 0.627 0.100
C 0.291 0.055 0.751
CELL_PARAMETERS angstrom
-0.023 2.791 2.011
0.984 -2.073 3.813
4.807 1.862 -2.212
```


Ti8Sn2As: optimized geometry, PBE. Values from VASP.

The energy of formation from the pure elements is -0.35 eV per atom. Its crystal system is monoclinic.

Geometry as Quantum ESPRESSO input:
```
&SYSTEM
  ibrav = 0, nat = 11, ntyp = 3
/
ATOMIC_SPECIES
Ti 47.87 Ti.upf
As 74.92 As.upf
Sn 118.71 Sn.upf
ATOMIC_POSITIONS crystal
Ti 0.335 0.899 0.670
Ti 0.043 0.259 0.085
Ti 0.766 0.666 0.531
Ti 0.665 0.101 0.330
Ti 0.414 0.454 0.829
Ti 0.586 0.546 0.171
Ti 0.234 0.334 0.469
Ti 0.957 0.741 0.915
As 0.500 0.000 0.000
Sn 0.152 0.792 0.304
Sn 0.848 0.208 0.696
CELL_PARAMETERS angstrom
-0.789 -3.561 -3.049
4.501 -2.166 1.365
-3.793 -1.966 6.983
```


CsGaP2S8: optimized geometry, PBE. Values from VASP.

The energy relative to the elements, uncorrected is -266 meV/atom. Its crystal system is trigonal.

Geometry as Quantum ESPRESSO input:
```
&SYSTEM
  ibrav = 0, nat = 12, ntyp = 4
/
ATOMIC_SPECIES
S 32.06 S.upf
Ga 69.72 Ga.upf
P 30.97 P.upf
Cs 132.91 Cs.upf
ATOMIC_POSITIONS crystal
S 0.333 0.667 0.897
S 0.005 0.663 0.355
S 0.659 0.995 0.355
S 0.341 0.005 0.645
S 0.667 0.333 0.103
S 0.337 0.341 0.355
S 0.663 0.659 0.645
S 0.995 0.337 0.645
Ga 0.000 0.000 0.500
P 0.667 0.333 0.297
P 0.333 0.667 0.703
Cs 0.000 0.000 0.000
CELL_PARAMETERS angstrom
-3.098 5.049 -0.347
-0.111 -3.864 -4.502
-8.167 -4.719 4.252
```


Pa4Te5As2: optimized geometry, PBE. Values from VASP.

The energy relative to the elements, uncorrected is -746 meV/atom. Its crystal system is monoclinic.

Geometry as Quantum ESPRESSO input:
```
&SYSTEM
  ibrav = 0, nat = 11, ntyp = 3
/
ATOMIC_SPECIES
As 74.92 As.upf
Te 127.60 Te.upf
Pa 231.04 Pa.upf
ATOMIC_POSITIONS crystal
As 0.439 0.549 0.879
As 0.561 0.451 0.121
Te 0.791 0.702 0.581
Te 0.209 0.298 0.419
Te 0.500 0.000 0.000
Te 0.137 0.833 0.274
Te 0.863 0.167 0.726
Pa 0.015 0.705 0.029
Pa 0.985 0.295 0.971
Pa 0.670 0.566 0.341
Pa 0.330 0.434 0.659
CELL_PARAMETERS angstrom
-4.076 0.382 0.075
-0.689 -6.474 -4.428
1.574 -7.066 9.740
```


K2TlCr: optimized geometry, PBE. Values from VASP.

The energy of formation from the pure elements is 0.44 eV per atom. Its crystal system is monoclinic. For the polymorph energy (0 for the lowest one), the calculation gives 0.06 eV/f.u.

Geometry as Quantum ESPRESSO input:
```
&SYSTEM
  ibrav = 0, nat = 4, ntyp = 3
/
ATOMIC_SPECIES
K 39.10 K.upf
Cr 52.00 Cr.upf
Tl 204.38 Tl.upf
ATOMIC_POSITIONS crystal
K 0.971 0.971 0.084
K 0.779 0.779 0.666
Cr 0.208 0.208 0.376
Tl 0.542 0.542 0.374
CELL_PARAMETERS angstrom
5.021 0.012 0.001
2.516 4.345 0.001
2.480 1.434 7.783
```